No. 1
Crystalline LiSn2SbBr at its relaxed geometry, computed with PBE-GGA.

Properties
uncorrected formation energy: 0.1331 eV/atom
D(E_F): 0.55 states/eV/atom
space-group type: P4/mmm
E_tot: -15.0 eV for the cell shown

Lattice parameters (Å, degrees): 5.427 4.712 5.427 90.00 90.00 90.00
Element x y z (fractional)
Sn (0.500, 0.000, 0.000)
Sn (0.000, 0.000, 0.500)
Li (0.000, 0.000, 0.000)
Sb (0.000, 0.500, 0.000)
Br (0.500, 0.500, 0.500)

=====

No. 2
Crystalline CrInCl2 at its relaxed geometry, computed with PBE-GGA.

Properties
uncorrected formation energy: -0.3519 eV/atom
D(E_F): 0.21 states/eV/atom
space-group type: R3m
E_tot: -17.5 eV for the cell shown
energy above the lowest structure with this stoichiometry: 0.181 eV/atom

Lattice parameters (Å, degrees): 8.965 8.965 8.965 21.33 21.33 21.33
Last column: magnetic moment on the atom in μB.
Element x y z (fractional)
In (0.758, 0.758, 0.758)  -0.04
Cr (0.503, 0.503, 0.503)  1.04
Cl (0.019, 0.019, 0.019)  -0.02
Cl (0.220, 0.220, 0.220)  -0.03

=====

No. 3
Crystalline Ca2Cu2Au at its relaxed geometry, computed with PBE-GGA.

Properties
DFT formation energy: -0.28 eV/atom
D(E_F): 0.31 states/eV/atom
space-group type: I4/mmm
E_tot: -16.9 eV for the cell shown
energy above the lowest structure with this stoichiometry: 0.071 eV/atom

Lattice parameters (Å, degrees): 3.544 3.544 8.975 78.61 78.61 90.00
Element x y z (fractional)
Ca (0.392, 0.392, 0.215)
Ca (0.608, 0.608, 0.785)
Cu (0.250, 0.750, 0.500)
Cu (0.750, 0.250, 0.500)
Au (0.000, 0.000, 0.000)

=====

Please write out number 2 again, unchanged.
Crystalline CrInCl2 at its relaxed geometry, computed with PBE-GGA.

Properties
uncorrected formation energy: -0.3519 eV/atom
D(E_F): 0.21 states/eV/atom
space-group type: R3m
E_tot: -17.5 eV for the cell shown
energy above the lowest structure with this stoichiometry: 0.181 eV/atom

Lattice parameters (Å, degrees): 8.965 8.965 8.965 21.33 21.33 21.33
Last column: magnetic moment on the atom in μB.
Element x y z (fractional)
In (0.758, 0.758, 0.758)  -0.04
Cr (0.503, 0.503, 0.503)  1.04
Cl (0.019, 0.019, 0.019)  -0.02
Cl (0.220, 0.220, 0.220)  -0.03

=====

Question: The highest D(E_F) belongs to which entry?
Answer: LiSn2SbBr

=====

Question: Among the records above, which one has the lowest E_tot?
Answer: CrInCl2

=====

Question: Among the records above, which one has the highest E_tot?
Answer: LiSn2SbBr